Computed, not measured: a geometry-optimized FePNO2 structure at the PBE+U level of DFT.

Calculated values
For the calculated volume, the calculation gives 10.8 A^3/atom. The value obtained for the raw total energy is -4.9351 eV/atom. The calculation puts the total magnetization at 3.2 μB/f.u.

Lattice parameters (Å, degrees): 3.907 3.907 3.533 90.00 90.00 90.00
Each line ends with the local moment (μB).
Sites, in units of the cell vectors:
O 0.500 0.000 0.000  -0.05
O 0.000 0.500 0.000  -0.05
P 0.000 0.000 0.500  -0.20
Fe 0.500 0.500 0.500  3.59
N 0.000 0.000 0.000  0.03